Entry 1:
A plane-wave DFT calculation with meta-GGA SCAN was carried out for AlInSi3 at its PBEsol-relaxed geometry.

Values from the calculation:
- Symmetry: No. 221
- Energy relative to the elements, uncorrected: 1569 meV per atom
- Magnetization: 0.0 μB/f.u.
- Total energy: -12.67 eV/atom
- V: 125.8 Å³/cell

Cell and atoms, written as extended XYZ:
```
5
Lattice="5.0106 0.0000 0.0000 0.0000 5.0106 0.0000 0.0000 0.0000 5.0106" Properties=species:S:1:pos:R:3 pbc="T T T"
Al 0.0000 0.0000 0.0000
In 2.5053 2.5053 2.5053
Si 0.0000 2.5053 2.5053
Si 2.5053 0.0000 2.5053
Si 2.5053 2.5053 0.0000
```


Entry 2:
A plane-wave DFT calculation with meta-GGA SCAN was carried out for AlInSi2 at its PBEsol-relaxed geometry.

Values from the calculation:
- Symmetry: No. 65
- Excess energy over the best structure of this formula in the dataset: 0.1691 eV per atom
- Energy relative to the elements, uncorrected: 522 meV per atom
- Magnetization: 0.0 μB/f.u.
- Total energy: -14.77 eV/atom
- V: 71.1 Å³/cell

Cell and atoms, written as extended XYZ:
```
4
Lattice="2.8955 -3.3734 0.0000 2.8955 3.3734 0.0000 0.0000 0.0000 3.6419" Properties=species:S:1:pos:R:3 pbc="T T T"
Al 0.0000 0.0000 0.0000
In 2.8955 0.0000 0.0000
Si 1.4478 1.6867 1.8209
Si 1.4478 -1.6867 1.8209
```


Entry 3:
A plane-wave DFT calculation with meta-GGA SCAN was carried out for Sr2Al3In at its PBEsol-relaxed geometry.

Values from the calculation:
- Symmetry: No. 8
- Magnetization: 0.0 μB/f.u.
- Total energy: -17.24 eV/atom
- Formation energy from the elements: -35.8 kJ per mole of atoms
- V: 152.4 Å³/cell

Cell and atoms, written as extended XYZ:
```
6
Lattice="5.5924 -2.4166 0.0000 5.5924 2.4166 0.0000 -5.5143 0.0000 5.6373" Properties=species:S:1:pos:R:3 pbc="T T T"
Sr 0.0000 0.0000 0.0000
Sr -2.2144 0.0000 3.3623
Al 1.1706 0.0000 3.1350
Al 3.2346 0.0000 1.1911
Al 5.7342 0.0000 2.2490
In 7.8118 0.0000 0.1053
```


Entry 4:
A plane-wave DFT calculation with meta-GGA SCAN was carried out for Sr11Al4In3 at its PBEsol-relaxed geometry.

Values from the calculation:
- Symmetry: No. 225
- Magnetization: 0.7 μB/f.u.
- Total energy: -21.23 eV/atom
- Formation energy from the elements: -31.6 kJ per mole of atoms
- V: 1291.5 Å³/cell

Cell and atoms, written as extended XYZ:
```
36
Lattice="0.0000 8.6434 8.6434 8.6434 0.0000 8.6434 8.6434 8.6434 0.0000" Properties=species:S:1:pos:R:3 pbc="T T T"
Sr 0.0000 0.0000 0.0000
Sr 2.9150 2.9150 0.0000
Sr 5.7284 5.7284 0.0000
Sr 2.9150 0.0000 2.9150
Sr 8.6434 5.7284 2.9150
Sr 5.7284 0.0000 5.7284
Sr 8.6434 2.9150 5.7284
Sr 10.9050 6.3818 6.3818
Sr 0.0000 2.9150 2.9150
Sr 5.7284 8.6434 2.9150
Sr 5.7284 2.9150 8.6434
Sr 6.3818 6.3818 6.3818
Sr 10.9050 10.9050 6.3818
Sr 10.9050 6.3818 10.9050
Sr 8.6434 8.6434 8.6434
Sr 6.3818 10.9050 6.3818
Sr 6.3818 6.3818 10.9050
Sr 10.9050 10.9050 10.9050
Sr 0.0000 5.7284 5.7284
Sr 2.9150 8.6434 5.7284
Sr 2.9150 5.7284 8.6434
Sr 6.3818 10.9050 10.9050
Al 3.3594 3.3594 3.3594
Al 5.2839 5.2839 3.3594
Al 5.2839 3.3594 5.2839
Al 3.3594 5.2839 5.2839
Al 13.9273 12.0028 12.0028
Al 12.0028 13.9273 12.0028
Al 12.0028 12.0028 13.9273
Al 13.9273 13.9273 13.9273
In 8.6434 8.6434 4.8380
In 8.6434 4.8380 8.6434
In 12.4488 8.6434 8.6434
In 4.8380 8.6434 8.6434
In 8.6434 12.4488 8.6434
In 8.6434 8.6434 12.4488
```


Entry 5:
A plane-wave DFT calculation with meta-GGA SCAN was carried out for SrAlIn2 at its PBEsol-relaxed geometry.

Values from the calculation:
- Symmetry: No. 63
- Magnetization: 0.0 μB/f.u.
- Total energy: -24.55 eV/atom
- Formation energy from the elements: -33.9 kJ per mole of atoms
- V: 220.0 Å³/cell

Cell and atoms, written as extended XYZ:
```
8
Lattice="2.3079 -6.0263 0.0000 2.3079 6.0263 0.0000 0.0000 0.0000 7.9095" Properties=species:S:1:pos:R:3 pbc="T T T"
Sr 2.3079 5.1875 5.9321
Sr 2.3079 -5.1875 1.9774
Al 2.3079 3.4355 1.9774
Al 2.3079 -3.4355 5.9321
In 2.3079 1.6563 4.3588
In 2.3079 1.6563 7.5054
In 2.3079 -1.6563 0.4041
In 2.3079 -1.6563 3.5507
```


Entry 6:
A plane-wave DFT calculation with meta-GGA SCAN was carried out for SrAl2In at its PBEsol-relaxed geometry.

Values from the calculation:
- Symmetry: No. 166
- Excess energy over the best structure of this formula in the dataset: 0.3746 eV per atom
- Magnetization: 0.0 μB/f.u.
- Total energy: -17.56 eV/atom
- Formation energy from the elements: 22.3 kJ per mole of atoms
- V: 104.5 Å³/cell

Cell and atoms, written as extended XYZ:
```
4
Lattice="1.7833 1.0296 9.4819 -1.7833 1.0296 9.4819 0.0000 -2.0592 9.4819" Properties=species:S:1:pos:R:3 pbc="T T T"
Sr 0.0000 0.0000 0.0000
Al 0.0000 0.0000 6.8467
Al 0.0000 0.0000 21.5989
In 0.0000 0.0000 14.2228
```


Entry 7:
A plane-wave DFT calculation with meta-GGA SCAN was carried out for Sr3Al2In4 at its PBEsol-relaxed geometry.

Values from the calculation:
- Symmetry: No. 8
- Magnetization: 0.0 μB/f.u.
- Total energy: -24.49 eV/atom
- Formation energy from the elements: -48.6 kJ per mole of atoms
- V: 488.6 Å³/cell

Cell and atoms, written as extended XYZ:
```
18
Lattice="5.7321 -2.4614 0.0000 5.7321 2.4614 0.0000 -5.0076 0.0000 17.3142" Properties=species:S:1:pos:R:3 pbc="T T T"
Sr 0.0000 0.0000 0.0000
Sr -1.7237 0.0000 14.9548
Sr 0.4857 0.0000 11.5185
Sr 3.7542 0.0000 9.1547
Sr 5.9573 0.0000 5.7061
Sr 9.2470 0.0000 3.3829
Al 3.3893 0.0000 1.1351
Al 5.8591 0.0000 2.2396
Al 3.7719 0.0000 12.6694
Al 9.2445 0.0000 6.8687
In -2.9290 0.0000 11.6589
In 1.2330 0.0000 3.1958
In 0.3121 0.0000 8.0140
In 2.5379 0.0000 5.8516
In 1.7784 0.0000 14.8199
In 8.0180 0.0000 0.1889
In 7.2504 0.0000 9.0110
In 6.3049 0.0000 13.8120
```


Entry 8:
A plane-wave DFT calculation with meta-GGA SCAN was carried out for SrAlIn at its PBEsol-relaxed geometry.

Values from the calculation:
- Symmetry: No. 12
- Magnetization: 0.0 μB/f.u.
- Total energy: -21.59 eV/atom
- Formation energy from the elements: -43.4 kJ per mole of atoms
- V: 158.9 Å³/cell

Cell and atoms, written as extended XYZ:
```
6
Lattice="5.6632 -2.4450 0.0000 5.6632 2.4450 0.0000 -5.4812 0.0000 5.7389" Properties=species:S:1:pos:R:3 pbc="T T T"
Sr -1.1037 0.0000 1.7095
Sr 6.9488 0.0000 4.0295
Al -1.0456 0.0000 5.1924
Al 6.8907 0.0000 0.5465
In 2.3037 0.0000 1.5184
In 3.5414 0.0000 4.2206
```